PaTiCo2O6 | GGA+U | relaxed

The calculated total energy is -7.906 eV per atom.

The structure belongs to space group P4mm (No. 99); the cell edges are 5.928, 5.928 and 4.249 Å and the angles 90.00°, 90.00° and 90.00°. The asymmetric unit holds Pa at (0.000, 0.000, 0.000), Ti at (0.500, 0.500, 0.949), Co at (0.000, 0.500, 0.110), O at (0.000, 0.000, 0.508), O at (0.263, 0.263, 0.045) and O at (0.500, 0.500, 0.552).